Record 1
First-principles (GGA-PBE) data for a relaxed YZr2Te crystal, as listed in Alexandria via LeMat-Bulk.

POSCAR file:
```
YZr2Te
1.0
3.768 0.000 0.000
0.000 3.768 0.000
0.000 0.000 6.968
Y Zr Te
1 2 1
Direct
0.000 0.000 0.000 Y
0.500 0.500 0.287 Zr
0.500 0.500 0.713 Zr
0.000 0.000 0.500 Te
```

Raw formation energy, meV per atom: -329
Total DFT energy (no corrections), eV/atom: -7.0045

***

Record 2
First-principles (GGA-PBE) data for a relaxed NaRh2Br2 crystal, as listed in Alexandria via LeMat-Bulk.

POSCAR file:
```
NaRh2Br2
1.0
7.619 0.000 0.000
0.000 7.619 0.000
0.000 0.000 3.328
Na Rh Br
2 4 4
Direct
0.000 0.000 0.000 Na
0.500 0.500 0.000 Na
0.163 0.337 0.500 Rh
0.337 0.837 0.500 Rh
0.663 0.163 0.500 Rh
0.837 0.663 0.500 Rh
0.159 0.659 0.000 Br
0.341 0.159 0.000 Br
0.659 0.841 0.000 Br
0.841 0.341 0.000 Br
```

Raw formation energy, meV per atom: 279
ΔE to the lowest computed polymorph, kJ/mol of formula units: 149
Total DFT energy (no corrections), eV/atom: -3.5941

***

Record 3
First-principles (GGA-PBE) data for a relaxed Co2TeRh crystal, as listed in Alexandria via LeMat-Bulk.

POSCAR file:
```
Co2TeRh
1.0
-2.520 2.520 6.191
2.520 -2.520 6.191
2.520 2.520 -6.191
Co Te Rh
4 2 2
Direct
0.097 0.625 0.972 Co
0.375 0.347 0.472 Co
0.653 0.125 0.028 Co
0.875 0.903 0.528 Co
0.250 0.750 0.500 Te
0.500 0.500 0.000 Te
0.000 0.000 0.000 Rh
0.750 0.250 0.500 Rh
```

Raw formation energy, meV per atom: 721
Total DFT energy (no corrections), eV/atom: -5.4554

***

Record 4
First-principles (GGA-PBE) data for a relaxed TePNCl2 crystal, as listed in Alexandria via LeMat-Bulk.

POSCAR file:
```
TePNCl2
1.0
4.278 0.000 0.000
0.000 4.278 0.000
0.000 0.000 5.062
Te P N Cl
1 1 1 2
Direct
0.000 0.000 0.000 Te
0.500 0.500 0.000 P
0.000 0.000 0.500 N
0.000 0.500 0.500 Cl
0.500 0.000 0.500 Cl
```

Raw formation energy, meV per atom: 1076
ΔE to the lowest computed polymorph, kJ/mol of formula units: 14
Total DFT energy (no corrections), eV/atom: -3.0381

***

Number 1: density of states at the Fermi level 1.04 states/eV/atom. Number 2: density of states at the Fermi level 1.32 states/eV/atom. Number 3: density of states at the Fermi level 1.53 states/eV/atom. Number 4: density of states at the Fermi level 0.48 states/eV/atom.